[1]
Below is crystalline Tl6SnSb4 at its relaxed geometry, with properties calculated at the GGA-PBE level.

The structure in extended XYZ format:
```
22
Lattice="10.821 0.000 0.000 -5.410 9.371 0.000 0.000 0.000 7.416" Properties=species:S:1:pos:R:3 pbc="T T T"
Tl -2.372 4.878 0.000
Tl 0.000 2.888 5.182
Tl -2.909 7.927 5.182
Tl 2.501 1.444 1.474
Tl 2.372 4.878 0.000
Tl 0.000 8.986 0.000
Tl 5.410 0.385 3.708
Tl 3.039 4.493 3.708
Tl 2.909 7.927 5.182
Tl 8.319 1.444 1.474
Tl 5.410 6.483 1.474
Tl 7.782 4.493 3.708
Sn 0.000 6.247 2.799
Sn 5.410 3.124 6.508
Sb 0.000 3.461 1.967
Sb -2.413 7.640 1.967
Sb 0.000 6.247 5.685
Sb 2.997 1.731 5.675
Sb 2.413 7.640 1.967
Sb 5.410 3.124 1.977
Sb 7.823 1.731 5.675
Sb 5.410 5.910 5.675
```

DOS at the Fermi energy = 7.4 states/eV/cell
formation energy from raw total energies = 0.019 eV/atom

***

[2]
Below is crystalline Tl2SnSb2 at its relaxed geometry, with properties calculated at the GGA-PBE level.

The structure in extended XYZ format:
```
10
Lattice="8.649 0.000 0.000 0.000 8.649 0.000 0.000 0.000 3.967" Properties=species:S:1:pos:R:3 pbc="T T T"
Tl 1.226 3.098 0.000
Tl 3.098 7.423 0.000
Tl 5.551 1.226 0.000
Tl 7.423 5.551 0.000
Sn 0.000 0.000 0.000
Sn 4.325 4.325 0.000
Sb 1.349 5.674 1.983
Sb 2.975 1.349 1.983
Sb 5.674 7.300 1.983
Sb 7.300 2.975 1.983
```

DOS at the Fermi energy = 5.2 states/eV/cell
E above lowest polymorph = 246 meV/atom
formation energy from raw total energies = 0.251 eV/atom

***

[3]
Below is crystalline TlSn2Sb2 at its relaxed geometry, with properties calculated at the GGA-PBE level.

The structure in extended XYZ format:
```
10
Lattice="4.790 0.000 0.000 0.000 4.790 0.000 0.000 0.000 14.412" Properties=species:S:1:pos:R:3 pbc="T T T"
Tl 0.000 0.000 0.000
Tl 2.395 2.395 7.206
Sn 0.000 2.395 3.603
Sn 0.000 2.395 10.809
Sn 2.395 0.000 3.603
Sn 2.395 0.000 10.809
Sb 0.000 0.000 5.648
Sb 0.000 0.000 8.765
Sb 2.395 2.395 1.559
Sb 2.395 2.395 12.854
```

DOS at the Fermi energy = 7.1 states/eV/cell
E above lowest polymorph = 118 meV/atom
formation energy from raw total energies = 0.095 eV/atom

***

[4]
Below is crystalline Tl2SnSb3 at its relaxed geometry, with properties calculated at the GGA-PBE level.

The structure in extended XYZ format:
```
12
Lattice="8.259 -3.871 0.000 8.259 3.871 0.000 0.000 0.000 6.345" Properties=species:S:1:pos:R:3 pbc="T T T"
Tl 3.079 1.045 1.586
Tl 3.079 -1.045 4.759
Tl 13.439 1.045 1.586
Tl 13.439 -1.045 4.759
Sn 8.259 1.240 1.586
Sn 8.259 -1.240 4.759
Sb 8.259 3.632 4.759
Sb 5.976 0.000 0.000
Sb 5.976 0.000 3.172
Sb 10.541 0.000 0.000
Sb 10.541 0.000 3.172
Sb 8.259 -3.632 1.586
```

DOS at the Fermi energy = 7.6 states/eV/cell
formation energy from raw total energies = 0.098 eV/atom

***

[5]
Below is crystalline TlSnSb at its relaxed geometry, with properties calculated at the GGA-PBE level.

The structure in extended XYZ format:
```
6
Lattice="3.935 0.000 0.000 0.000 3.935 0.000 0.000 0.000 11.899" Properties=species:S:1:pos:R:3 pbc="T T T"
Tl 0.000 0.000 0.000
Tl 1.967 1.967 5.949
Sn 0.000 0.000 3.595
Sn 1.967 1.967 9.544
Sb 0.000 0.000 8.192
Sb 1.967 1.967 2.243
```

DOS at the Fermi energy = 2.5 states/eV/cell
E above lowest polymorph = 41 meV/atom
formation energy from raw total energies = 0.035 eV/atom

***

[6]
Below is crystalline Tl8SnSb2 at its relaxed geometry, with properties calculated at the GGA-PBE level.

The structure in extended XYZ format:
```
11
Lattice="-2.660 3.983 8.254 2.660 -3.983 8.254 2.660 3.983 -8.254" Properties=species:S:1:pos:R:3 pbc="T T T"
Tl 2.660 2.144 -2.502
Tl 0.000 0.000 2.752
Tl 0.000 2.249 0.000
Tl 2.660 2.144 2.502
Tl 0.000 1.838 5.751
Tl 0.000 5.716 0.000
Tl 0.000 0.000 13.756
Tl 0.000 1.838 10.756
Sn 2.660 0.000 0.000
Sb 2.660 0.000 5.126
Sb 0.000 3.983 3.128
```

DOS at the Fermi energy = 3.1 states/eV/cell
E above lowest polymorph = 0 meV/atom
formation energy from raw total energies = 0.014 eV/atom